A relaxed CaCrP2Cl crystal. Source: Alexandria, functional PBE.

a b c (Å): 4.399 4.399 5.192
angles (deg): 90.00 90.00 90.00
Space group P4/mmm (No. 123)
Symmetry-distinct sites (fractional):
Ca  0.000  0.000  0.000 x1
Cr  0.500  0.500  0.500 x1
P  0.000  0.500  0.500 x2
Cl  0.500  0.500  0.000 x1

The energy relative to the lowest polymorph listed for this composition comes out at 0.0000 eV per atom. The calculation puts the density of states at the Fermi level at 0.715 states/eV per atom. The energy relative to the elements, uncorrected is -0.485 eV/atom. As for the total moment: 0.39 μB per formula unit.